The following is a DFT calculation (GGA+U) of crystalline NpVCuO6 at its relaxed geometry.

Unit cell a=5.2867 b=5.2867 c=8.9329 alpha=90.00 beta=90.00 gamma=120.00
Space group P-31c (No. 163)
Unique sites:
Np  0.3333  0.6667  0.2500 x2
V  0.3333  0.6667  0.7500 x2
Cu  0.0000  0.0000  0.0000 x2
O  0.0128  0.3575  0.6340 x12

Output
As for the density of states at the Fermi level: 9.65 states/eV per cell. For the total energy, the calculation gives -7.93 eV/atom. Its magnetization is 1.98 μB/cell.